A plane-wave DFT calculation with PBE was carried out for Pa3InN2O6 after structural relaxation.

## Properties
Electronic total energy = -8.961 eV per atom
M_tot = 0.0 Bohr magnetons per cell
Formation energy from raw total energies = -2492 meV per atom

abc: 4.6558 7.0011 6.6326
angles: 121.86 91.75 90.00
With the nearest neighbours (Å) after each atom.
Atoms (fractional coordinates):
1 Pa 0.0000 0.5000 0.0000  2 N 2.23, 4 O 2.30
2 Pa 0.5000 0.5000 0.5000  4 O 2.20-2.25, 2 N 2.24
3 Pa 0.5000 0.0000 0.5000  4 O 2.20-2.25, 2 N 2.24
4 In 0.5000 0.0000 0.0000  6 O 2.14-2.30
5 N 0.2704 0.6669 0.3338  3 Pa 2.23-2.24
6 N 0.7296 0.3331 0.6662  3 Pa 2.23-2.24
7 O 0.7489 0.3371 0.1659  2 Pa 2.25-2.30, 1 In 2.30
8 O 0.2511 0.6629 0.8341  2 Pa 2.25-2.30, 1 In 2.30
9 O 0.7101 0.8342 0.6685  1 In 2.14, 2 Pa 2.20
10 O 0.2899 0.1658 0.3315  1 In 2.14, 2 Pa 2.20
11 O 0.2511 0.1712 0.8341  2 Pa 2.25-2.30, 1 In 2.30
12 O 0.7489 0.8288 0.1659  2 Pa 2.25-2.30, 1 In 2.30